a) Computed, not measured: TlIrPt2 after structural relaxation at the GGA-PBE level of DFT.

The structure in POSCAR format:
```
TlIrPt2
1.0
4.021 0.000 0.000
0.000 4.021 0.000
0.000 0.000 4.171
Tl Ir Pt
1 1 2
Cartesian
0.000 0.000 0.000
2.011 2.011 0.000
0.000 2.011 2.085
2.011 0.000 2.085
```

Magnetization = 0.0 μB per cell

b) Computed, not measured: TlIrPt2 after structural relaxation at the GGA-PBE level of DFT.

The structure in POSCAR format:
```
TlIrPt2
1.0
-1.440 2.427 4.939
1.440 -2.427 4.939
1.440 2.427 -4.939
Tl Ir Pt
1 1 2
Cartesian
0.000 0.000 0.000
0.000 0.000 4.939
1.440 0.000 2.590
0.000 2.427 2.348
```

Magnetization = 0.0 μB per cell

c) Computed, not measured: TlIrPt2 after structural relaxation at the GGA-PBE level of DFT.

The structure in POSCAR format:
```
TlIrPt2
1.0
2.868 -4.025 0.000
2.868 4.025 0.000
0.000 0.000 2.923
Tl Ir Pt
1 1 2
Cartesian
0.000 0.000 0.000
2.868 0.000 0.000
1.434 2.012 1.461
1.434 -2.012 1.461
```

Magnetization = 0.0 μB per cell

d) Computed, not measured: TlIrPt2 after structural relaxation at the GGA-PBE level of DFT.

The structure in POSCAR format:
```
TlIrPt2
1.0
0.000 3.248 3.248
3.248 0.000 3.248
3.248 3.248 0.000
Tl Ir Pt
1 1 2
Cartesian
0.000 0.000 0.000
3.248 3.248 3.248
1.624 1.624 1.624
4.872 4.872 4.872
```

Magnetization = 0.0 μB per cell

Most stable: a)

a) Computed, not measured: TlIrPt2 after structural relaxation at the GGA-PBE level of DFT.

The structure in POSCAR format:
```
TlIrPt2
1.0
-2.076 2.076 3.926
2.076 -2.076 3.926
2.076 2.076 -3.926
Tl Ir Pt
1 1 2
Cartesian
0.000 0.000 0.000
2.076 0.000 1.963
0.000 0.000 3.926
0.000 2.076 1.963
```

Magnetization = 0.0 μB per cell

b) Computed, not measured: TlIrPt2 after structural relaxation at the GGA-PBE level of DFT.

The structure in POSCAR format:
```
TlIrPt2
1.0
1.486 0.858 8.985
-1.486 0.858 8.985
0.000 -1.716 8.985
Tl Ir Pt
1 1 2
Cartesian
0.000 0.000 0.000
0.000 0.000 20.299
0.000 0.000 6.632
0.000 0.000 13.409
```

Magnetization = 0.0 μB per cell

Most stable: a)

a) Computed, not measured: TlIrPt2 after structural relaxation at the GGA-PBE level of DFT.

The structure in POSCAR format:
```
TlIrPt2
1.0
4.599 -1.487 0.000
4.599 1.487 0.000
-0.905 0.000 5.013
Tl Ir Pt
1 1 2
Cartesian
0.000 0.000 0.000
4.147 0.000 2.507
1.581 0.000 3.655
6.713 0.000 1.358
```

Magnetization = 0.0 μB per cell

b) Computed, not measured: TlIrPt2 after structural relaxation at the GGA-PBE level of DFT.

The structure in POSCAR format:
```
TlIrPt2
1.0
4.647 -1.494 0.000
4.647 1.494 0.000
-0.933 0.000 4.909
Tl Ir Pt
1 1 2
Cartesian
0.000 0.000 0.000
6.718 0.000 1.331
1.603 0.000 3.620
4.142 0.000 2.426
```

Magnetization = 0.0 μB per cell

c) Computed, not measured: TlIrPt2 after structural relaxation at the GGA-PBE level of DFT.

The structure in POSCAR format:
```
TlIrPt2
1.0
-1.422 2.468 4.889
1.422 -2.468 4.889
1.422 2.468 -4.889
Tl Ir Pt
1 1 2
Cartesian
0.000 0.000 0.000
1.422 0.000 2.478
0.000 0.000 4.786
0.000 2.468 2.355
```

Magnetization = 0.0 μB per cell

d) Computed, not measured: TlIrPt2 after structural relaxation at the GGA-PBE level of DFT.

The structure in POSCAR format:
```
TlIrPt2
1.0
-2.073 2.073 3.950
2.073 -2.073 3.950
2.073 2.073 -3.950
Tl Ir Pt
1 1 2
Cartesian
0.000 0.000 0.000
0.000 0.000 3.950
2.073 0.000 1.975
0.000 2.073 1.975
```

Magnetization = 0.0 μB per cell

Most stable: b)

a) Computed, not measured: V2IrPt2 after structural relaxation at the GGA-PBE level of DFT.

The structure in POSCAR format:
```
V2IrPt2
1.0
2.257 -3.814 0.000
2.257 3.814 0.000
0.000 0.000 4.794
V Ir Pt
2 1 2
Cartesian
0.000 0.000 1.142
0.000 0.000 3.652
2.257 0.000 2.397
2.257 1.281 0.000
2.257 -1.281 0.000
```

Magnetization = 0.0 μB per cell

b) Computed, not measured: V2IrPt2 after structural relaxation at the GGA-PBE level of DFT.

The structure in POSCAR format:
```
V2IrPt2
1.0
-1.839 1.839 5.852
1.839 -1.839 5.852
1.839 1.839 -5.852
V Ir Pt
2 1 2
Cartesian
0.000 0.000 1.080
0.000 0.000 10.624
0.000 0.000 5.852
1.839 0.000 2.926
0.000 1.839 2.926
```

Magnetization = 1.1 μB per cell

c) Computed, not measured: V2IrPt2 after structural relaxation at the GGA-PBE level of DFT.

The structure in POSCAR format:
```
V2IrPt2
1.0
2.185 -6.976 0.000
2.185 6.976 0.000
0.000 0.000 4.871
V Ir Pt
4 2 4
Cartesian
2.185 6.202 2.435
2.185 3.166 3.131
2.185 -3.166 0.695
2.185 -6.202 0.000
2.185 5.044 4.832
2.185 -5.044 2.397
2.185 2.239 0.676
2.185 0.600 3.312
2.185 -0.600 0.877
2.185 -2.239 3.111
```

Magnetization = 0.9 μB per cell

d) Computed, not measured: V2IrPt2 after structural relaxation at the GGA-PBE level of DFT.

The structure in POSCAR format:
```
V2IrPt2
1.0
7.331 0.000 0.000
0.000 7.331 0.000
0.000 0.000 2.770
V Ir Pt
4 2 4
Cartesian
1.257 2.408 0.000
2.408 6.073 0.000
4.923 1.257 0.000
6.073 4.923 0.000
0.000 0.000 1.385
3.665 3.665 1.385
0.942 4.607 1.385
2.724 0.942 1.385
4.607 6.389 1.385
6.389 2.724 1.385
```

Magnetization = 0.0 μB per cell

Most stable: c)

a) Computed, not measured: VIrPt after structural relaxation at the GGA-PBE level of DFT.

The structure in POSCAR format:
```
VIrPt
1.0
-1.365 1.889 4.213
1.365 -1.889 4.213
1.365 1.889 -4.213
V Ir Pt
1 1 1
Cartesian
0.000 0.000 0.000
0.000 0.000 5.463
0.000 0.000 2.762
```

Magnetization = 0.0 μB per cell

b) Computed, not measured: VIrPt after structural relaxation at the GGA-PBE level of DFT.

The structure in POSCAR format:
```
VIrPt
1.0
-2.034 2.034 5.984
2.034 -2.034 5.984
2.034 2.034 -5.984
V Ir Pt
2 2 2
Cartesian
0.000 0.000 1.600
0.000 0.000 10.368
2.034 0.000 2.992
0.000 2.034 2.992
2.034 0.000 0.000
0.000 2.034 0.000
```

Magnetization = 0.0 μB per cell

c) Computed, not measured: VIrPt after structural relaxation at the GGA-PBE level of DFT.

The structure in POSCAR format:
```
VIrPt
1.0
4.333 0.000 0.000
-2.166 3.752 0.000
0.000 0.000 2.698
V Ir Pt
1 1 1
Cartesian
0.000 0.000 0.000
0.000 2.502 1.349
2.166 1.251 0.000
```

Magnetization = 0.0 μB per cell

Most stable: a)

a) Computed, not measured: IrPt2W after structural relaxation at the GGA-PBE level of DFT.

The structure in POSCAR format:
```
IrPt2W
1.0
4.639 -1.393 0.000
4.639 1.393 0.000
-0.836 0.000 4.757
Ir Pt W
1 2 1
Cartesian
0.000 0.000 0.000
1.686 0.000 3.521
4.156 0.000 2.317
6.703 0.000 1.103
```

Magnetization = 0.0 μB per cell

b) Computed, not measured: IrPt2W after structural relaxation at the GGA-PBE level of DFT.

The structure in POSCAR format:
```
IrPt2W
1.0
2.788 0.000 0.000
0.000 2.788 0.000
0.000 0.000 7.967
Ir Pt W
1 2 1
Cartesian
0.000 0.000 0.000
0.000 0.000 4.192
1.394 1.394 2.075
1.394 1.394 6.150
```

Magnetization = 0.0 μB per cell

Most stable: b)

a) Computed, not measured: IrPt2W after structural relaxation at the GGA-PBE level of DFT.

The structure in POSCAR format:
```
IrPt2W
1.0
2.787 -2.788 0.000
2.787 2.788 0.000
-2.787 0.000 3.939
Ir Pt W
1 2 1
Cartesian
0.000 0.000 0.000
1.394 1.399 1.969
2.787 0.006 0.000
1.394 -1.388 1.969
```

Magnetization = 0.0 μB per cell

b) Computed, not measured: IrPt2W after structural relaxation at the GGA-PBE level of DFT.

The structure in POSCAR format:
```
IrPt2W
1.0
1.393 0.804 9.196
-1.393 0.804 9.196
0.000 -1.609 9.196
Ir Pt W
1 2 1
Cartesian
0.000 0.000 0.000
0.000 0.000 13.979
0.000 0.000 20.773
0.000 0.000 7.050
```

Magnetization = 0.0 μB per cell

Most stable: a)

a) Computed, not measured: IrPt2W after structural relaxation at the GGA-PBE level of DFT.

The structure in POSCAR format:
```
IrPt2W
1.0
4.820 0.000 0.000
0.000 2.799 0.000
-1.615 0.000 4.554
Ir Pt W
1 2 1
Cartesian
0.000 0.000 0.000
-0.808 1.400 2.277
1.602 0.000 2.277
2.410 1.400 0.000
```

Magnetization = 0.0 μB per cell

b) Computed, not measured: IrPt2W after structural relaxation at the GGA-PBE level of DFT.

The structure in POSCAR format:
```
IrPt2W
1.0
2.757 0.000 0.000
0.000 2.757 0.000
0.000 0.000 8.088
Ir Pt W
1 2 1
Cartesian
0.000 0.000 0.000
1.379 1.379 2.053
1.379 1.379 6.035
0.000 0.000 4.044
```

Magnetization = 0.0 μB per cell

c) Computed, not measured: IrPt2W after structural relaxation at the GGA-PBE level of DFT.

The structure in POSCAR format:
```
IrPt2W
1.0
2.781 0.000 0.000
0.000 3.940 0.000
0.000 0.000 5.603
Ir Pt W
1 2 1
Cartesian
0.000 0.000 0.000
0.000 0.000 2.885
1.390 1.970 1.449
1.390 1.970 4.317
```

Magnetization = 0.0 μB per cell

Most stable: c)

a) Computed, not measured: IrPt2W after structural relaxation at the GGA-PBE level of DFT.

The structure in POSCAR format:
```
IrPt2W
1.0
2.755 -4.011 0.000
2.755 4.011 0.000
0.000 0.000 2.780
Ir Pt W
1 2 1
Cartesian
0.000 0.000 0.000
1.378 2.006 1.390
1.378 -2.006 1.390
2.755 0.000 0.000
```

Magnetization = 0.0 μB per cell

b) Computed, not measured: IrPt2W after structural relaxation at the GGA-PBE level of DFT.

The structure in POSCAR format:
```
IrPt2W
1.0
2.768 0.000 0.000
0.000 4.012 0.000
0.000 0.000 5.530
Ir Pt W
1 2 1
Cartesian
0.000 0.000 0.000
1.384 2.006 1.410
1.384 2.006 4.120
0.000 0.000 2.765
```

Magnetization = 0.0 μB per cell

c) Computed, not measured: IrPt2W after structural relaxation at the GGA-PBE level of DFT.

The structure in POSCAR format:
```
IrPt2W
1.0
0.000 3.153 3.153
3.153 0.000 3.153
3.153 3.153 0.000
Ir Pt W
1 2 1
Cartesian
0.000 0.000 0.000
1.577 1.577 1.577
3.153 3.153 3.153
4.730 4.730 4.730
```

Magnetization = 0.0 μB per cell

Most stable: b)

a) Computed, not measured: IrPt2W after structural relaxation at the GGA-PBE level of DFT.

The structure in POSCAR format:
```
IrPt2W
1.0
3.917 0.000 0.000
0.000 3.917 0.000
0.000 0.000 4.008
Ir Pt W
1 2 1
Cartesian
0.000 0.000 0.000
0.000 1.959 2.004
1.959 0.000 2.004
1.959 1.959 0.000
```

Magnetization = 0.7 μB per cell

b) Computed, not measured: IrPt2W after structural relaxation at the GGA-PBE level of DFT.

The structure in POSCAR format:
```
IrPt2W
1.0
4.646 -1.398 0.000
4.646 1.398 0.000
-0.856 0.000 4.728
Ir Pt W
1 2 1
Cartesian
0.000 0.000 0.000
1.675 0.000 3.530
6.761 0.000 1.197
4.218 0.000 2.364
```

Magnetization = 0.0 μB per cell

Most stable: b)